[1]
# Ag2HRuS meta-GGA SCAN PBEsol geometry
data_Ag2HRuS
_chemical_formula_sum 'Ag2 H1 Ru1 S1'
_space_group_name_H-M_alt 'P 4/m m m'
_space_group_IT_number 123
_space_group_name_Hall '-P 4 2'
_cell_length_a 3.636
_cell_length_b 3.636
_cell_length_c 5.156
_cell_angle_alpha 90.00
_cell_angle_beta 90.00
_cell_angle_gamma 90.00
loop_
_atom_site_label
_atom_site_type_symbol
_atom_site_fract_x
_atom_site_fract_y
_atom_site_fract_z
Ag1 Ag 0.000 0.500 0.000
H1 H 0.000 0.000 0.000
Ru1 Ru 0.500 0.500 0.500
S1 S 0.000 0.000 0.500
# * total magnetic moment: 2.21 μB/f.u.
# * E_tot: -21.50 eV/atom

=====

[2]
# AlRuN2 meta-GGA SCAN PBEsol geometry
data_AlRuN2
_chemical_formula_sum 'Al4 Ru4 N8'
_space_group_name_H-M_alt 'I -4 2 d'
_space_group_IT_number 122
_space_group_name_Hall 'I -4 2bw'
_cell_length_a 4.558
_cell_length_b 4.558
_cell_length_c 8.482
_cell_angle_alpha 90.00
_cell_angle_beta 90.00
_cell_angle_gamma 90.00
loop_
_atom_site_label
_atom_site_type_symbol
_atom_site_fract_x
_atom_site_fract_y
_atom_site_fract_z
Al1 Al 0.000 0.000 0.000
Ru1 Ru 0.000 0.000 0.500
N1 N 0.230 0.250 0.125
# * total magnetic moment: 0.00 μB/f.u.
# * E_tot: -15.70 eV/atom

=====

[3]
# NbAg7S6 meta-GGA SCAN PBEsol geometry
data_NbAg7S6
_chemical_formula_sum 'Nb2 Ag14 S12'
_space_group_name_H-M_alt 'P 1 c 1'
_space_group_IT_number 7
_space_group_name_Hall 'P -2yc'
_cell_length_a 7.410
_cell_length_b 7.140
_cell_length_c 12.903
_cell_angle_alpha 90.00
_cell_angle_beta 124.56
_cell_angle_gamma 90.00
loop_
_atom_site_label
_atom_site_type_symbol
_atom_site_fract_x
_atom_site_fract_y
_atom_site_fract_z
Nb1 Nb 0.000 0.239 0.000
Ag1 Ag 0.208 0.428 0.463
Ag2 Ag 0.248 0.208 0.281
Ag3 Ag 0.478 0.402 0.203
Ag4 Ag 0.655 0.487 0.486
Ag5 Ag 0.714 0.117 0.409
Ag6 Ag 0.780 0.336 0.729
Ag7 Ag 0.833 0.034 0.154
S1 S 0.108 0.498 0.632
S2 S 0.122 0.039 0.612
S3 S 0.162 0.233 0.892
S4 S 0.506 0.198 0.514
S5 S 0.617 0.242 0.859
S6 S 0.831 0.275 0.284
# * total magnetic moment: 0.00 μB/f.u.
# * E_tot: -22.47 eV/atom

=====

[4]
# Mg2TeAs meta-GGA SCAN PBEsol geometry
data_Mg2TeAs
_chemical_formula_sum 'Mg4 Te2 As2'
_space_group_name_H-M_alt 'C 1 m 1'
_space_group_IT_number 8
_space_group_name_Hall 'C -2y'
_cell_length_a 14.513
_cell_length_b 3.374
_cell_length_c 4.175
_cell_angle_alpha 90.00
_cell_angle_beta 90.06
_cell_angle_gamma 90.00
loop_
_atom_site_label
_atom_site_type_symbol
_atom_site_fract_x
_atom_site_fract_y
_atom_site_fract_z
Mg1 Mg 0.000 0.000 0.000
Mg2 Mg 0.149 0.500 0.501
Te1 Te 0.420 0.000 0.500
As1 As 0.179 0.000 0.002
# * total magnetic moment: 0.00 μB/f.u.
# * E_tot: -17.37 eV/atom